Entry 1:
ZrCrCoI2 PBE-GGA relaxed; uncorrected formation energy = 0.957 eV per atom; symmetry = No. 123
1.0
5.238 0.000 0.000
0.000 5.238 0.000
0.000 0.000 4.287
Zr Cr Co I
1 1 1 2
direct
0.000 0.000 0.000
0.500 0.500 0.500
0.500 0.500 0.000
0.000 0.500 0.500
0.500 0.000 0.500

Entry 2:
Cr2InCo PBE-GGA relaxed; VASP energy = -7.0204 eV per atom; symmetry = No. 47
1.0
3.653 0.000 0.000
0.000 3.682 0.000
0.000 0.000 4.268
Cr In Co
2 1 1
direct
0.000 0.000 0.000
0.500 0.500 0.000
0.000 0.500 0.500
0.500 0.000 0.500

| no. | total moment (μB per formula unit) |
| --- | --- |
| 1 | 1.37 |
| 2 | 0.01 |